# TmLuZr GGA-PBE optimized geometry
data_TmLuZr
_cell_length_a 3.3692
_cell_length_b 3.3692
_cell_length_c 7.5920
_cell_angle_alpha 102.82
_cell_angle_beta 102.82
_cell_angle_gamma 90.00
_space_group_name_H-M_alt 'P 1'
_space_group_IT_number 1
loop_
_space_group_symop_operation_xyz
'x,y,z'
loop_
_atom_site_label
_atom_site_type_symbol
_atom_site_fract_x
_atom_site_fract_y
_atom_site_fract_z
Lu1 Lu 0.0102 0.0102 0.0204
Zr1 Zr 0.6661 0.6661 0.3322
Tm1 Tm 0.3237 0.3237 0.6474
# Excess energy over the best structure of this formula in the dataset: 0.000 eV per atom
# Space group: No. 107
# Crystal system: tetragonal
# Formation energy: 0.17 eV per formula unit
# Density of states at the Fermi level: 1.4814 states/eV/atom
# Calculated volume: 82 Å³/cell

# TmLuZr2 GGA-PBE optimized geometry
data_TmLuZr2
_cell_length_a 5.2701
_cell_length_b 5.2701
_cell_length_c 5.2701
_cell_angle_alpha 60.00
_cell_angle_beta 60.00
_cell_angle_gamma 60.00
_space_group_name_H-M_alt 'P 1'
_space_group_IT_number 1
loop_
_space_group_symop_operation_xyz
'x,y,z'
loop_
_atom_site_label
_atom_site_type_symbol
_atom_site_fract_x
_atom_site_fract_y
_atom_site_fract_z
Zr1 Zr 0.2500 0.2500 0.2500
Zr2 Zr 0.7500 0.7500 0.7500
Tm1 Tm 0.5000 0.5000 0.5000
Lu1 Lu 0.0000 0.0000 0.0000
# Excess energy over the best structure of this formula in the dataset: 0.159 eV per atom
# Space group: No. 225
# Crystal system: cubic
# Formation energy: 0.97 eV per formula unit
# Density of states at the Fermi level: 2.1449 states/eV/atom
# Calculated volume: 103 Å³/cell

# LuU2 GGA-PBE optimized geometry
data_LuU2
_cell_length_a 5.7793
_cell_length_b 5.7793
_cell_length_c 5.7793
_cell_angle_alpha 60.00
_cell_angle_beta 60.00
_cell_angle_gamma 60.00
_space_group_name_H-M_alt 'P 1'
_space_group_IT_number 1
loop_
_space_group_symop_operation_xyz
'x,y,z'
loop_
_atom_site_label
_atom_site_type_symbol
_atom_site_fract_x
_atom_site_fract_y
_atom_site_fract_z
U1 U 0.6250 0.1250 0.6250
Lu1 Lu 0.2500 0.2500 0.2500
U2 U 0.6250 0.6250 0.1250
U3 U 0.6250 0.6250 0.6250
U4 U 0.1250 0.6250 0.6250
Lu2 Lu 0.0000 0.0000 0.0000
# Space group: No. 227
# Crystal system: cubic
# Formation energy: 0.92 eV per formula unit
# Density of states at the Fermi level: 2.8409 states/eV/atom
# Calculated volume: 136 Å³/cell

# Lu3V GGA-PBE optimized geometry
data_Lu3V
_cell_length_a 3.6166
_cell_length_b 5.2558
_cell_length_c 6.2549
_cell_angle_alpha 114.84
_cell_angle_beta 106.80
_cell_angle_gamma 90.00
_space_group_name_H-M_alt 'P 1'
_space_group_IT_number 1
loop_
_space_group_symop_operation_xyz
'x,y,z'
loop_
_atom_site_label
_atom_site_type_symbol
_atom_site_fract_x
_atom_site_fract_y
_atom_site_fract_z
Lu1 Lu 0.7138 0.1305 0.4277
V1 V 0.0000 0.9166 0.0000
Lu2 Lu 0.2862 0.7028 0.5723
Lu3 Lu 0.5000 0.4168 0.0000
# Space group: No. 71
# Crystal system: orthorhombic
# Formation energy: 0.75 eV per formula unit
# Density of states at the Fermi level: 0.9972 states/eV/atom
# Calculated volume: 102 Å³/cell

# YLu2V GGA-PBE optimized geometry
data_YLu2V
_cell_length_a 3.5447
_cell_length_b 3.5447
_cell_length_c 8.4325
_cell_angle_alpha 90.00
_cell_angle_beta 90.00
_cell_angle_gamma 90.00
_space_group_name_H-M_alt 'P 1'
_space_group_IT_number 1
loop_
_space_group_symop_operation_xyz
'x,y,z'
loop_
_atom_site_label
_atom_site_type_symbol
_atom_site_fract_x
_atom_site_fract_y
_atom_site_fract_z
Lu1 Lu 0.0000 0.0000 0.1983
Lu2 Lu 0.0000 0.0000 0.8017
Y1 Y 0.5000 0.5000 0.5000
V1 V 0.5000 0.5000 0.0000
# Space group: No. 123
# Crystal system: tetragonal
# Formation energy: 0.73 eV per formula unit
# Density of states at the Fermi level: 1.2638 states/eV/atom
# Calculated volume: 106 Å³/cell

# LuVZn4 GGA-PBE optimized geometry
data_LuVZn4
_cell_length_a 5.1830
_cell_length_b 5.1830
_cell_length_c 5.1830
_cell_angle_alpha 60.00
_cell_angle_beta 60.00
_cell_angle_gamma 60.00
_space_group_name_H-M_alt 'P 1'
_space_group_IT_number 1
loop_
_space_group_symop_operation_xyz
'x,y,z'
loop_
_atom_site_label
_atom_site_type_symbol
_atom_site_fract_x
_atom_site_fract_y
_atom_site_fract_z
V1 V 0.0000 0.0000 0.0000
Zn1 Zn 0.1227 0.6258 0.6258
Zn2 Zn 0.6258 0.6258 0.1227
Lu1 Lu 0.2500 0.2500 0.2500
Zn3 Zn 0.6258 0.6258 0.6258
Zn4 Zn 0.6258 0.1227 0.6258
# Space group: No. 216
# Crystal system: cubic
# Formation energy: -1.02 eV per formula unit
# Density of states at the Fermi level: 0.4401 states/eV/atom
# Calculated volume: 98 Å³/cell

# LuZrVZn GGA-PBE optimized geometry
data_LuZrVZn
_cell_length_a 4.8393
_cell_length_b 4.8393
_cell_length_c 4.8393
_cell_angle_alpha 60.00
_cell_angle_beta 60.00
_cell_angle_gamma 60.00
_space_group_name_H-M_alt 'P 1'
_space_group_IT_number 1
loop_
_space_group_symop_operation_xyz
'x,y,z'
loop_
_atom_site_label
_atom_site_type_symbol
_atom_site_fract_x
_atom_site_fract_y
_atom_site_fract_z
Lu1 Lu 0.2500 0.2500 0.2500
V1 V 0.5000 0.5000 0.5000
Zn1 Zn 0.0000 0.0000 0.0000
Zr1 Zr 0.7500 0.7500 0.7500
# Space group: No. 216
# Crystal system: cubic
# Formation energy: 0.11 eV per formula unit
# Density of states at the Fermi level: 0.7218 states/eV/atom
# Calculated volume: 80 Å³/cell

# LuW6 GGA-PBE optimized geometry
data_LuW6
_cell_length_a 6.1198
_cell_length_b 6.1198
_cell_length_c 6.1198
_cell_angle_alpha 109.47
_cell_angle_beta 109.47
_cell_angle_gamma 109.47
_space_group_name_H-M_alt 'P 1'
_space_group_IT_number 1
loop_
_space_group_symop_operation_xyz
'x,y,z'
loop_
_atom_site_label
_atom_site_type_symbol
_atom_site_fract_x
_atom_site_fract_y
_atom_site_fract_z
Lu1 Lu 0.0000 0.0000 0.0000
W1 W 0.5000 0.2500 0.7500
W2 W 0.5000 0.7500 0.2500
W3 W 0.2500 0.5000 0.7500
W4 W 0.2500 0.7500 0.5000
W5 W 0.7500 0.2500 0.5000
W6 W 0.7500 0.5000 0.2500
# Space group: No. 229
# Crystal system: cubic
# Formation energy: 13.80 eV per formula unit
# Density of states at the Fermi level: 1.8526 states/eV/atom
# Calculated volume: 176 Å³/cell